Ag2WCl | PBE | optimized geometry

Results
The total magnetization comes out at 3.2 μB/f.u. The calculation puts the raw formation energy at 1.12 eV/atom. The crystal system is tetragonal.

Cell and atoms, written as CIF:
```
data_Ag2WCl
_chemical_formula_sum 'Ag2 W1 Cl1'
_cell_length_a 3.8971
_cell_length_b 3.8971
_cell_length_c 4.9516
_cell_angle_alpha 90.00
_cell_angle_beta 90.00
_cell_angle_gamma 90.00
_symmetry_space_group_name_H-M 'P 4/m m m'
_symmetry_Int_Tables_number 123
_symmetry_space_group_name_Hall '-P 4 2'
loop_
_atom_site_label
_atom_site_type_symbol
_atom_site_fract_x
_atom_site_fract_y
_atom_site_fract_z
Ag1 Ag 0.0000 0.5000 0.0000
W1 W 0.0000 0.0000 0.5000
Cl1 Cl 0.5000 0.5000 0.5000
```

=====

ReBSb2I | PBE | optimized geometry

Results
The total magnetization comes out at 1.4 μB/f.u. The calculation puts the raw formation energy at 1.58 eV/atom. The crystal system is tetragonal.

Cell and atoms, written as CIF:
```
data_ReBSb2I
_chemical_formula_sum 'Re1 B1 Sb2 I1'
_cell_length_a 4.6734
_cell_length_b 4.6734
_cell_length_c 4.7998
_cell_angle_alpha 90.00
_cell_angle_beta 90.00
_cell_angle_gamma 90.00
_symmetry_space_group_name_H-M 'P 4/m m m'
_symmetry_Int_Tables_number 123
_symmetry_space_group_name_Hall '-P 4 2'
loop_
_atom_site_label
_atom_site_type_symbol
_atom_site_fract_x
_atom_site_fract_y
_atom_site_fract_z
Re1 Re 0.0000 0.0000 0.0000
B1 B 0.5000 0.5000 0.5000
Sb1 Sb 0.0000 0.5000 0.5000
I1 I 0.5000 0.5000 0.0000
```